No. 1
The following is a PBE calculation of an optimized crystal structure of Zn2PdPt, from Alexandria via LeMat-Bulk.

## Properties
energy above the most stable polymorph in this dataset	290.4	meV per atom
spin magnetization	0.0	μB per cell
space-group type	R3m

Cell: 4.899 4.899 4.899 Å, 51.40 51.40 51.40°
Element x y z (fractional)
Zn  0.000  0.000  0.000
Zn  0.205  0.205  0.205
Pd  0.788  0.788  0.788
Pt  0.574  0.574  0.574

No. 2
The following is a PBE calculation of an optimized crystal structure of Zn2Pd8Pt, from Alexandria via LeMat-Bulk.

## Properties
energy above the most stable polymorph in this dataset	0.0	meV per atom
spin magnetization	0.0	μB per cell
space-group type	C2/m

Cell: 7.338 7.338 6.160 Å, 104.61 104.61 31.27°
Element x y z (fractional)
Zn  0.138  0.138  0.183
Zn  0.862  0.862  0.817
Pd  0.044  0.044  0.734
Pd  0.228  0.228  0.634
Pd  0.318  0.318  0.089
Pd  0.409  0.409  0.550
Pd  0.591  0.591  0.450
Pd  0.682  0.682  0.911
Pd  0.772  0.772  0.366
Pd  0.956  0.956  0.266
Pt  0.500  0.500  0.000

No. 3
The following is a PBE calculation of an optimized crystal structure of ZnPd2Pt8, from Alexandria via LeMat-Bulk.

## Properties
energy above the most stable polymorph in this dataset	319.7	meV per atom
spin magnetization	0.0	μB per cell
space-group type	C2/m

Cell: 6.857 6.857 4.701 Å, 102.93 102.93 60.62°
Element x y z (fractional)
Zn  0.000  0.000  0.000
Pd  0.122  0.122  0.504
Pd  0.878  0.878  0.496
Pt  0.228  0.228  0.067
Pt  0.231  0.625  0.196
Pt  0.360  0.360  0.651
Pt  0.375  0.769  0.804
Pt  0.625  0.231  0.196
Pt  0.640  0.640  0.349
Pt  0.769  0.375  0.804
Pt  0.772  0.772  0.933

What did we get for ΔE_f? Answer: -1.12 -2.72 1.89 eV/f.u., in the order shown.